1.
Material: DyReIr
Method: DFT, GGA-PBE
State: optimized geometry

Results
Crystal system: orthorhombic
Size of the total moment, μB/cell: 0.000
DFT total energy, eV/atom: -9.177
ΔE_f, kJ/mol of formula units: -156

abc: 5.245 5.245 9.080
angles: 90.00 90.00 117.77
Sites, in units of the cell vectors:
Dy  0.332  0.668  0.317
Ir  0.346  0.160  0.500
Dy  0.332  0.668  0.683
Ir  0.991  0.009  0.747
Ir  0.991  0.009  0.253
Re  0.171  0.829  0.000
Re  0.660  0.832  0.000
Dy  0.666  0.334  0.812
Re  0.168  0.340  0.000
Ir  0.840  0.654  0.500
Dy  0.666  0.334  0.188
Re  0.836  0.164  0.500

2.
Material: DyReSi2Ir
Method: DFT, GGA-PBE
State: optimized geometry

Results
Crystal system: tetragonal
Size of the total moment, μB/cell: 0.000
DFT total energy, eV/atom: -8.128
Formation energy from raw total energies, eV per atom: -0.777

abc: 4.197 4.197 5.676
angles: 111.70 111.70 90.00
Sites, in units of the cell vectors:
Si  0.627  0.627  0.253
Dy  0.000  0.000  0.000
Si  0.373  0.373  0.747
Re  0.750  0.250  0.500
Ir  0.250  0.750  0.500

3.
Material: Dy6Ir2Rh
Method: DFT, GGA-PBE
State: optimized geometry

Results
Crystal system: monoclinic
Size of the total moment, μB/cell: 0.000
DFT total energy, eV/atom: -6.491
ΔE_f, kJ/mol of formula units: -553

abc: 6.595 7.347 9.620
angles: 90.00 87.83 90.00
Sites, in units of the cell vectors:
Ir  0.043  0.619  0.267
Dy  0.823  0.672  0.564
Dy  0.158  0.047  0.756
Dy  0.842  0.953  0.244
Dy  0.323  0.828  0.064
Dy  0.842  0.673  0.923
Ir  0.457  0.119  0.233
Dy  0.158  0.327  0.077
Dy  0.177  0.328  0.436
Dy  0.658  0.453  0.256
Dy  0.658  0.173  0.577
Dy  0.342  0.827  0.423
Dy  0.677  0.172  0.936
Ir  0.957  0.381  0.733
Ir  0.543  0.881  0.767
Rh  0.000  0.000  0.500
Rh  0.500  0.500  0.000
Dy  0.342  0.547  0.744

4.
Material: DyIrRh3
Method: DFT, GGA-PBE
State: optimized geometry

Results
Crystal system: orthorhombic
Size of the total moment, μB/cell: 0.473
DFT total energy, eV/atom: -6.858
ΔE_f, kJ/mol of formula units: 118

abc: 4.819 7.306 7.306
angles: 126.48 90.00 90.00
Each line ends with the local moment (μB).
Sites, in units of the cell vectors:
Rh  0.000  0.000  0.000  0.14
Dy  0.750  0.598  0.402  0.03
Rh  0.500  0.000  0.000  0.14
Ir  0.250  0.172  0.828  0.02
Rh  0.750  0.408  0.973  0.01
Rh  0.750  0.027  0.592  0.01
Ir  0.750  0.828  0.172  0.02
Dy  0.250  0.402  0.598  0.03
Rh  0.250  0.973  0.408  0.01
Rh  0.250  0.592  0.027  0.01

5.
Material: Dy7Ir2Rh2
Method: DFT, GGA-PBE
State: optimized geometry

Results
Crystal system: monoclinic
Size of the total moment, μB/cell: 0.000
DFT total energy, eV/atom: -6.405
ΔE_f, kJ/mol of formula units: -561

abc: 6.617 6.819 6.617
angles: 90.05 101.40 89.95
Sites, in units of the cell vectors:
Dy  0.500  0.262  0.000
Dy  0.000  0.000  0.000
Dy  0.500  0.742  0.500
Rh  0.222  0.500  0.222
Dy  0.500  0.738  0.000
Dy  0.000  0.738  0.500
Dy  0.500  0.258  0.500
Rh  0.778  0.500  0.778
Ir  0.722  0.000  0.278
Ir  0.278  0.000  0.722
Dy  0.000  0.262  0.500

6.
Material: Dy3Ir2Rh
Method: DFT, GGA-PBE
State: optimized geometry

Results
Crystal system: orthorhombic
Size of the total moment, μB/cell: 0.000
DFT total energy, eV/atom: -7.324
ΔE_f, kJ/mol of formula units: -489

abc: 3.540 4.765 7.538
angles: 108.42 90.00 90.00
Sites, in units of the cell vectors:
Rh  0.000  0.000  0.000
Dy  0.500  0.832  0.665
Ir  0.000  0.666  0.332
Dy  0.500  0.500  0.000
Ir  0.000  0.334  0.668
Dy  0.500  0.168  0.335

7.
Material: DyIrRh
Method: DFT, GGA-PBE
State: optimized geometry

Results
Crystal system: orthorhombic
Size of the total moment, μB/cell: 0.000
DFT total energy, eV/atom: -7.721
ΔE_f, kJ/mol of formula units: -227

abc: 5.331 5.352 5.352
angles: 59.93 60.13 60.13
Sites, in units of the cell vectors:
Dy  0.876  0.374  0.374
Rh  0.500  0.000  0.500
Ir  0.000  0.000  0.000
Rh  0.500  0.500  0.000
Dy  0.124  0.626  0.626
Ir  0.500  0.000  0.000

8.
Material: Dy3Ir2Rh7
Method: DFT, GGA-PBE
State: optimized geometry

Results
Crystal system: trigonal
Size of the total moment, μB/cell: 0.002
DFT total energy, eV/atom: -7.455
ΔE_f, kJ/mol of formula units: -625

abc: 5.263 5.263 9.309
angles: 73.58 73.58 60.00
Sites, in units of the cell vectors:
Ir  0.333  0.333  0.001
Dy  0.139  0.139  0.584
Rh  0.418  0.418  0.247
Rh  0.918  0.418  0.247
Rh  0.582  0.582  0.753
Ir  0.667  0.667  0.999
Rh  0.500  0.500  0.500
Rh  0.418  0.918  0.247
Dy  0.861  0.861  0.416
Rh  0.582  0.082  0.753
Dy  0.000  0.000  0.000
Rh  0.082  0.582  0.753